A plane-wave DFT calculation with PBE was carried out for an optimized crystal structure of DyGaHgPd.

**Energy of formation**: -0.524 eV per atom
**Space-group type**: No. 216
**Spin magnetization**: 0.00 μB per cell

Cell lengths 6.8554, 6.8554, 6.8554 Å; angles 90.00, 90.00, 90.00 degrees
Sites, in units of the cell vectors:
1 Dy 0.0000 0.0000 0.0000
2 Dy 0.0000 0.5000 0.5000
3 Dy 0.5000 0.0000 0.5000
4 Dy 0.5000 0.5000 0.0000
5 Ga 0.0000 0.0000 0.5000
6 Ga 0.0000 0.5000 0.0000
7 Ga 0.5000 0.0000 0.0000
8 Ga 0.5000 0.5000 0.5000
9 Hg 0.2500 0.2500 0.2500
10 Hg 0.2500 0.7500 0.7500
11 Hg 0.7500 0.2500 0.7500
12 Hg 0.7500 0.7500 0.2500
13 Pd 0.2500 0.2500 0.7500
14 Pd 0.2500 0.7500 0.2500
15 Pd 0.7500 0.2500 0.2500
16 Pd 0.7500 0.7500 0.7500


A plane-wave DFT calculation with PBE was carried out for an optimized crystal structure of PmDyGaHg.

**Energy of formation**: -0.505 eV per atom
**Space-group type**: No. 216
**Spin magnetization**: 0.01 μB per cell
**Distance to the lowest polymorph of the same formula**: 0.0253 eV per atom

Cell lengths 7.4215, 7.4215, 7.4215 Å; angles 90.00, 90.00, 90.00 degrees
Sites, in units of the cell vectors:
1 Pm 0.0000 0.0000 0.0000
2 Pm 0.0000 0.5000 0.5000
3 Pm 0.5000 0.0000 0.5000
4 Pm 0.5000 0.5000 0.0000
5 Dy 0.0000 0.0000 0.5000
6 Dy 0.0000 0.5000 0.0000
7 Dy 0.5000 0.0000 0.0000
8 Dy 0.5000 0.5000 0.5000
9 Ga 0.2500 0.2500 0.7500
10 Ga 0.2500 0.7500 0.2500
11 Ga 0.7500 0.2500 0.2500
12 Ga 0.7500 0.7500 0.7500
13 Hg 0.2500 0.2500 0.2500
14 Hg 0.2500 0.7500 0.7500
15 Hg 0.7500 0.2500 0.7500
16 Hg 0.7500 0.7500 0.2500


A plane-wave DFT calculation with PBE was carried out for an optimized crystal structure of PmDyGaHg.

**Energy of formation**: -0.530 eV per atom
**Space-group type**: No. 99
**Spin magnetization**: 0.00 μB per cell
**Distance to the lowest polymorph of the same formula**: 0.0000 eV per atom

Cell lengths 3.6459, 3.6459, 7.5869 Å; angles 90.00, 90.00, 90.00 degrees
Sites, in units of the cell vectors:
1 Pm 0.0000 0.0000 0.0000
2 Dy 0.0000 0.0000 0.5294
3 Ga 0.5000 0.5000 0.7569
4 Hg 0.5000 0.5000 0.2814


A plane-wave DFT calculation with PBE was carried out for an optimized crystal structure of DyGaHgPt.

**Energy of formation**: -0.592 eV per atom
**Space-group type**: No. 216
**Spin magnetization**: 0.00 μB per cell

Cell lengths 6.8779, 6.8779, 6.8779 Å; angles 90.00, 90.00, 90.00 degrees
Sites, in units of the cell vectors:
1 Dy 0.0000 0.0000 0.0000
2 Dy 0.0000 0.5000 0.5000
3 Dy 0.5000 0.0000 0.5000
4 Dy 0.5000 0.5000 0.0000
5 Ga 0.0000 0.0000 0.5000
6 Ga 0.0000 0.5000 0.0000
7 Ga 0.5000 0.0000 0.0000
8 Ga 0.5000 0.5000 0.5000
9 Hg 0.2500 0.2500 0.7500
10 Hg 0.2500 0.7500 0.2500
11 Hg 0.7500 0.2500 0.2500
12 Hg 0.7500 0.7500 0.7500
13 Pt 0.2500 0.2500 0.2500
14 Pt 0.2500 0.7500 0.7500
15 Pt 0.7500 0.2500 0.7500
16 Pt 0.7500 0.7500 0.2500


A plane-wave DFT calculation with PBE was carried out for an optimized crystal structure of DyPuGaHg.

**Energy of formation**: -0.320 eV per atom
**Space-group type**: No. 216
**Spin magnetization**: 24.88 μB per cell

Cell lengths 7.3565, 7.3565, 7.3565 Å; angles 90.00, 90.00, 90.00 degrees
Sites, in units of the cell vectors:
1 Dy 0.0000 0.0000 0.0000
2 Dy 0.0000 0.5000 0.5000
3 Dy 0.5000 0.0000 0.5000
4 Dy 0.5000 0.5000 0.0000
5 Pu 0.0000 0.0000 0.5000
6 Pu 0.0000 0.5000 0.0000
7 Pu 0.5000 0.0000 0.0000
8 Pu 0.5000 0.5000 0.5000
9 Ga 0.2500 0.2500 0.2500
10 Ga 0.2500 0.7500 0.7500
11 Ga 0.7500 0.2500 0.7500
12 Ga 0.7500 0.7500 0.2500
13 Hg 0.2500 0.2500 0.7500
14 Hg 0.2500 0.7500 0.2500
15 Hg 0.7500 0.2500 0.2500
16 Hg 0.7500 0.7500 0.7500


A plane-wave DFT calculation with PBE was carried out for an optimized crystal structure of DyScGaHg.

**Energy of formation**: -0.491 eV per atom
**Space-group type**: No. 216
**Spin magnetization**: 0.78 μB per cell

Cell lengths 7.1241, 7.1241, 7.1241 Å; angles 90.00, 90.00, 90.00 degrees
Sites, in units of the cell vectors:
1 Dy 0.0000 0.0000 0.0000
2 Dy 0.0000 0.5000 0.5000
3 Dy 0.5000 0.0000 0.5000
4 Dy 0.5000 0.5000 0.0000
5 Sc 0.0000 0.0000 0.5000
6 Sc 0.0000 0.5000 0.0000
7 Sc 0.5000 0.0000 0.0000
8 Sc 0.5000 0.5000 0.5000
9 Ga 0.2500 0.2500 0.7500
10 Ga 0.2500 0.7500 0.2500
11 Ga 0.7500 0.2500 0.2500
12 Ga 0.7500 0.7500 0.7500
13 Hg 0.2500 0.2500 0.2500
14 Hg 0.2500 0.7500 0.7500
15 Hg 0.7500 0.2500 0.7500
16 Hg 0.7500 0.7500 0.2500